(1)
Computed, not measured: crystalline SrOs2Pd at its relaxed geometry at the PBE-GGA level of DFT.

As for the theoretical density: 9.7 g cm⁻³.

The structure belongs to space group I-42d (No. 122); the cell edges are 4.595, 4.595 and 18.716 Å and the angles 90.00°, 90.00° and 90.00°. The distinct sites, in fractional coordinates, are Sr at (0.000, 0.000, 0.000), Os at (0.057, 0.250, 0.625) and Pd at (0.000, 0.000, 0.500).


(2)
Computed, not measured: crystalline SeBr at its relaxed geometry at the PBE-GGA level of DFT.

As for the formation energy without anion corrections: 0.126 eV per atom. As for the theoretical density: 3.8 g cm⁻³.

The structure belongs to space group Pnma (No. 62); the cell edges are 8.490, 3.666 and 9.004 Å and the angles 90.00°, 90.00° and 90.00°. The distinct sites, in fractional coordinates, are Se at (0.025, 0.250, 0.092) and Br at (0.224, 0.750, 0.238).


(3)
Computed, not measured: crystalline LiInPS2 at its relaxed geometry at the PBE-GGA level of DFT.

As for the formation energy without anion corrections: 0.405 eV per atom. As for the theoretical density: 3.8 g cm⁻³.

The structure belongs to space group P4/mmm (No. 123); the cell edges are 4.678, 4.678 and 4.314 Å and the angles 90.00°, 90.00° and 90.00°. The distinct sites, in fractional coordinates, are Li at (0.000, 0.000, 0.000), In at (0.500, 0.500, 0.500), P at (0.000, 0.000, 0.500) and S at (0.000, 0.500, 0.000).


(4)
Computed, not measured: crystalline MgNb2F at its relaxed geometry at the PBE-GGA level of DFT.

As for the formation energy without anion corrections: 0.453 eV per atom. As for the theoretical density: 5.6 g cm⁻³.

The structure belongs to space group Fm-3m (No. 225); the cell edges are 6.472, 6.472 and 6.472 Å and the angles 90.00°, 90.00° and 90.00°. The distinct sites, in fractional coordinates, are Mg at (0.000, 0.000, 0.000), Nb at (0.250, 0.250, 0.250) and F at (0.000, 0.000, 0.500).


(5)
Computed, not measured: crystalline Y8Ho2Sc3 at its relaxed geometry at the PBE-GGA level of DFT.

As for the theoretical density: 4.7 g cm⁻³.

The structure belongs to space group C2/m (No. 12); the cell edges are 14.618, 8.767 and 6.581 Å and the angles 90.00°, 98.58° and 90.00°. The distinct sites, in fractional coordinates, are Y at (0.088, 0.000, 0.385), Y at (0.111, 0.184, 0.927), Y at (0.192, 0.500, 0.294), Ho at (0.199, 0.500, 0.786), Sc at (0.000, 0.337, 0.500) and Sc at (0.000, 0.500, 0.000).


(6)
Computed, not measured: crystalline Na2CuN at its relaxed geometry at the PBE-GGA level of DFT.

As for the formation energy without anion corrections: 0.053 eV per atom. As for the theoretical density: 2.4 g cm⁻³.

The structure belongs to space group I-42d (No. 122); the cell edges are 9.735, 9.735 and 3.634 Å and the angles 90.00°, 90.00° and 90.00°. The distinct sites, in fractional coordinates, are Na at (0.004, 0.750, 0.125), Cu at (0.000, 0.000, 0.500) and N at (0.000, 0.000, 0.000).


(7)
Computed, not measured: crystalline LiGePbAu2 at its relaxed geometry at the PBE-GGA level of DFT.

As for the theoretical density: 7.0 g cm⁻³.

The structure belongs to space group P4/mmm (No. 123); the cell edges are 5.406, 5.406 and 5.510 Å and the angles 90.00°, 90.00° and 90.00°. The distinct sites, in fractional coordinates, are Li at (0.000, 0.000, 0.000), Ge at (0.500, 0.500, 0.000), Pb at (0.500, 0.500, 0.500) and Au at (0.000, 0.500, 0.500).


(8)
Computed, not measured: crystalline AsRuO2 at its relaxed geometry at the PBE-GGA level of DFT.

As for the formation energy without anion corrections: 0.051 eV per atom. As for the theoretical density: 6.0 g cm⁻³.

The structure belongs to space group I-42d (No. 122); the cell edges are 4.905, 4.905 and 9.510 Å and the angles 90.00°, 90.00° and 90.00°. The distinct sites, in fractional coordinates, are As at (0.000, 0.000, 0.000), Ru at (0.000, 0.000, 0.500) and O at (0.221, 0.250, 0.625).


(9)
Computed, not measured: crystalline La2Pm5PrHo at its relaxed geometry at the PBE-GGA level of DFT.

As for the theoretical density: 6.8 g cm⁻³.

The structure belongs to space group P4/mbm (No. 127); the cell edges are 8.809, 8.809 and 8.202 Å and the angles 90.00°, 90.00° and 90.00°. The distinct sites, in fractional coordinates, are La at (0.119, 0.381, 0.000), Pm at (0.000, 0.000, 0.000), Pm at (0.216, 0.716, 0.282), Pr at (0.000, 0.000, 0.500) and Ho at (0.000, 0.500, 0.500).


The following final energy values (in eV per atom) correspond, in order, to the records above: -6.55; -2.45; -3.26; -5.45; -5.89; -3.71; -2.81; -5.91; -4.54.